Material: UInSe4
Method: DFT, GGA-PBE
State: relaxed

The structure in POSCAR format:
```
UInSe4
1.0
6.932 0.000 0.000
0.000 6.858 0.000
-0.116 0.000 6.709
U In Se
2 2 8
Direct
0.000 0.000 0.000
0.000 0.500 0.500
0.500 0.000 0.500
0.500 0.500 0.000
0.157 0.160 0.349
0.157 0.340 0.849
0.334 0.649 0.344
0.334 0.851 0.844
0.666 0.149 0.156
0.666 0.351 0.656
0.843 0.660 0.151
0.843 0.840 0.651
```

Computed properties:
- calculated total energy (eV per atom) = -5.31
- crystal system = monoclinic
- uncorrected formation energy (eV per formula unit) = -3.87
- SG = No. 14

***

Material: U6InSe8
Method: DFT, GGA-PBE
State: relaxed

The structure in POSCAR format:
```
U6InSe8
1.0
4.339 2.505 5.814
-4.339 2.505 5.814
0.000 -5.010 5.814
U In Se
6 1 8
Direct
0.067 0.434 0.790
0.210 0.933 0.566
0.434 0.790 0.067
0.566 0.210 0.933
0.790 0.067 0.434
0.933 0.566 0.210
0.500 0.500 0.500
0.100 0.708 0.396
0.167 0.167 0.167
0.292 0.604 0.900
0.396 0.100 0.708
0.604 0.900 0.292
0.708 0.396 0.100
0.833 0.833 0.833
0.900 0.292 0.604
```

Computed properties:
- calculated total energy (eV per atom) = -7.43
- crystal system = trigonal
- uncorrected formation energy (eV per formula unit) = -13.05
- SG = No. 148

***

Material: UInSe2
Method: DFT, GGA-PBE
State: relaxed

The structure in POSCAR format:
```
UInSe2
1.0
4.033 0.000 0.000
-2.016 3.492 0.000
0.000 0.000 24.467
U In Se
3 3 6
Direct
0.000 0.000 0.000
0.333 0.667 0.667
0.667 0.333 0.333
0.000 0.000 0.833
0.333 0.667 0.500
0.667 0.333 0.166
0.000 0.000 0.403
0.000 0.000 0.597
0.333 0.667 0.070
0.333 0.667 0.263
0.667 0.333 0.736
0.667 0.333 0.930
```

Computed properties:
- calculated total energy (eV per atom) = -6.04
- crystal system = trigonal
- uncorrected formation energy (eV per formula unit) = -3.15
- SG = No. 160

***

Material: UInSe
Method: DFT, GGA-PBE
State: relaxed

The structure in POSCAR format:
```
UInSe
1.0
3.876 0.000 0.000
0.000 16.496 0.000
0.000 0.000 4.777
U In Se
4 4 4
Direct
0.000 0.239 0.250
0.000 0.761 0.750
0.500 0.261 0.750
0.500 0.739 0.250
0.000 0.431 0.750
0.000 0.569 0.250
0.500 0.069 0.250
0.500 0.931 0.750
0.000 0.128 0.750
0.000 0.872 0.250
0.500 0.372 0.250
0.500 0.628 0.750
```

Computed properties:
- calculated total energy (eV per atom) = -6.13
- crystal system = orthorhombic
- uncorrected formation energy (eV per formula unit) = -0.87
- SG = No. 63

***

Material: U3VIn3Se8
Method: DFT, GGA-PBE
State: relaxed

The structure in POSCAR format:
```
U3VIn3Se8
1.0
6.890 -3.977 0.000
6.890 3.977 0.000
-4.600 0.000 7.947
U V In Se
3 1 3 8
Direct
0.000 0.000 0.000
0.000 0.500 0.000
0.500 0.000 0.000
0.500 0.500 0.000
0.000 0.500 0.500
0.500 0.000 0.500
0.500 0.500 0.500
0.239 0.239 0.216
0.253 0.723 0.199
0.277 0.277 0.801
0.277 0.747 0.801
0.723 0.253 0.199
0.723 0.723 0.199
0.747 0.277 0.801
0.761 0.761 0.784
```

Computed properties:
- calculated total energy (eV per atom) = -6.08
- crystal system = monoclinic
- uncorrected formation energy (eV per formula unit) = -12.14
- SG = No. 12

***

Material: Y2UIn3Se6
Method: DFT, GGA-PBE
State: relaxed

The structure in POSCAR format:
```
Y2UIn3Se6
1.0
3.601 -6.232 0.000
3.601 6.232 0.000
-2.397 0.000 7.777
Y U In Se
2 1 3 6
Direct
0.167 0.833 0.000
0.833 0.167 0.000
0.500 0.500 0.000
0.000 0.000 0.500
0.333 0.667 0.500
0.667 0.333 0.500
0.096 0.430 0.791
0.236 0.236 0.209
0.430 0.096 0.791
0.570 0.904 0.209
0.764 0.764 0.791
0.904 0.570 0.209
```

Computed properties:
- calculated total energy (eV per atom) = -5.56
- crystal system = monoclinic
- uncorrected formation energy (eV per formula unit) = -13.41
- SG = No. 12

***

Material: Y3UIn3Se8
Method: DFT, GGA-PBE
State: relaxed

The structure in POSCAR format:
```
Y3UIn3Se8
1.0
4.136 2.388 7.771
-4.136 2.388 7.771
0.000 -4.776 7.771
Y U In Se
3 1 3 8
Direct
0.000 0.500 0.500
0.500 0.000 0.500
0.500 0.500 0.000
0.000 0.000 0.000
0.000 0.000 0.500
0.000 0.500 0.000
0.500 0.000 0.000
0.233 0.233 0.740
0.233 0.740 0.233
0.260 0.767 0.767
0.264 0.264 0.264
0.736 0.736 0.736
0.740 0.233 0.233
0.767 0.260 0.767
0.767 0.767 0.260
```

Computed properties:
- calculated total energy (eV per atom) = -5.72
- crystal system = trigonal
- uncorrected formation energy (eV per formula unit) = -19.09
- SG = No. 166

***

Material: ZrU3In3Se8
Method: DFT, GGA-PBE
State: relaxed

The structure in POSCAR format:
```
ZrU3In3Se8
1.0
4.009 2.315 7.938
-4.009 2.315 7.938
0.000 -4.629 7.938
Zr U In Se
1 3 3 8
Direct
0.000 0.000 0.000
0.000 0.500 0.500
0.500 0.000 0.500
0.500 0.500 0.000
0.000 0.000 0.500
0.000 0.500 0.000
0.500 0.000 0.000
0.229 0.229 0.748
0.229 0.748 0.229
0.252 0.771 0.771
0.261 0.261 0.261
0.739 0.739 0.739
0.748 0.229 0.229
0.771 0.252 0.771
0.771 0.771 0.252
```

Computed properties:
- calculated total energy (eV per atom) = -6.16
- crystal system = trigonal
- uncorrected formation energy (eV per formula unit) = -13.86
- SG = No. 166

***

Material: VInSe2
Method: DFT, GGA-PBE
State: relaxed

The structure in POSCAR format:
```
VInSe2
1.0
7.181 0.000 0.000
0.000 7.181 0.000
0.000 0.000 8.783
V In Se
4 4 8
Direct
0.000 0.000 0.000
0.000 0.500 0.250
0.500 0.000 0.750
0.500 0.500 0.500
0.000 0.000 0.500
0.000 0.500 0.750
0.500 0.000 0.250
0.500 0.500 0.000
0.167 0.250 0.125
0.250 0.667 0.375
0.250 0.833 0.875
0.333 0.250 0.625
0.667 0.750 0.625
0.750 0.167 0.875
0.750 0.333 0.375
0.833 0.750 0.125
```

Computed properties:
- calculated total energy (eV per atom) = -5.07
- crystal system = tetragonal
- uncorrected formation energy (eV per formula unit) = -1.47
- SG = No. 122